Material: Sc2BSe
Method: DFT, GGA-PBE
State: relaxed

Calculated values
Its space-group type is R-3m. The value obtained for the total energy is -6.0879 eV per atom. As for the crystal system: trigonal. Its formation energy from raw total energies is -36.83 kJ/mol of atoms.

Lattice parameters (Å, degrees): 7.9420 7.9420 7.9420 26.26 26.26 26.26
Element x y z (fractional)
Sc  0.1123  0.1123  0.1123
Sc  0.8877  0.8877  0.8877
B  0.5000  0.5000  0.5000
Se  0.0000  0.0000  0.0000

=====

Material: ScBSe2
Method: DFT, GGA-PBE
State: relaxed

Calculated values
Its space-group type is R-3m. The value obtained for the total energy is -5.1911 eV per atom. As for the crystal system: trigonal. Its formation energy from raw total energies is -18.97 kJ/mol of atoms.

Lattice parameters (Å, degrees): 7.3729 7.3729 7.3729 29.86 29.86 29.86
Element x y z (fractional)
Se  0.0897  0.0897  0.0897
Se  0.9103  0.9103  0.9103
B  0.0000  0.0000  0.0000
Sc  0.5000  0.5000  0.5000

=====

Material: ScBSe
Method: DFT, GGA-PBE
State: relaxed

Calculated values
Its space-group type is C2/m. The value obtained for the total energy is -6.2109 eV per atom. As for the crystal system: monoclinic. Its formation energy from raw total energies is -68.80 kJ/mol of atoms.

Lattice parameters (Å, degrees): 3.6182 3.6182 9.3002 105.18 105.18 93.50
Element x y z (fractional)
Sc  0.0036  0.0036  0.6609
Sc  0.9964  0.9964  0.3391
Se  0.6111  0.6111  0.8006
Se  0.3889  0.3889  0.1994
B  0.5849  0.5849  0.4385
B  0.4151  0.4151  0.5615

=====

Material: ScB3Se
Method: DFT, GGA-PBE
State: relaxed

Calculated values
Its space-group type is Pm-3m. The value obtained for the total energy is -3.8542 eV per atom. As for the crystal system: cubic. Its formation energy from raw total energies is 204.11 kJ/mol of atoms.

Lattice parameters (Å, degrees): 4.5276 4.5276 4.5276 90.00 90.00 90.00
Element x y z (fractional)
Sc  0.0000  0.0000  0.0000
Se  0.5000  0.5000  0.5000
B  0.0000  0.5000  0.0000
B  0.0000  0.0000  0.5000
B  0.5000  0.0000  0.0000

=====

Material: Sc3BSe6
Method: DFT, GGA-PBE
State: relaxed

Calculated values
Its space-group type is Cmc2_1. The value obtained for the total energy is -5.8718 eV per atom. As for the crystal system: orthorhombic. Its formation energy from raw total energies is -117.12 kJ/mol of atoms.

Lattice parameters (Å, degrees): 6.2781 8.4508 8.4508 102.13 90.00 90.00
Element x y z (fractional)
Se  0.6600  0.9485  0.0515
Se  0.1868  0.1082  0.5807
Se  0.6868  0.8918  0.4193
Se  0.6804  0.6263  0.7017
Se  0.1868  0.4193  0.8918
Se  0.1804  0.7017  0.6263
Se  0.2035  0.7890  0.2110
Se  0.7035  0.2110  0.7890
Se  0.1804  0.3737  0.2983
Se  0.6804  0.2983  0.3737
Se  0.1600  0.0515  0.9485
Se  0.6868  0.5807  0.1082
Sc  0.8741  0.5948  0.4052
Sc  0.4905  0.9170  0.7203
Sc  0.9905  0.7203  0.9170
Sc  0.3741  0.4052  0.5948
Sc  0.4905  0.2797  0.0830
Sc  0.9905  0.0830  0.2797
B  0.5324  0.8005  0.1995
B  0.0324  0.1995  0.8005

=====

Material: ScBSe3
Method: DFT, GGA-PBE
State: relaxed

Calculated values
Its space-group type is Pm-3m. The value obtained for the total energy is -4.7060 eV per atom. As for the crystal system: cubic. Its formation energy from raw total energies is -1.30 kJ/mol of atoms.

Lattice parameters (Å, degrees): 4.5142 4.5142 4.5142 90.00 90.00 90.00
Element x y z (fractional)
Sc  0.5000  0.5000  0.5000
B  0.0000  0.0000  0.0000
Se  0.0000  0.0000  0.5000
Se  0.5000  0.0000  0.0000
Se  0.0000  0.5000  0.0000